## Ac4Ge2SCl (GGA-PBE)

Data for Ac4Ge2SCl after structural relaxation.

## Properties
ΔE_f (raw)	-10.551	eV/f.u.
M_tot	0.00	μB/f.u.
calculated total energy	-5.274	eV/atom
space group	I4/mmm, No. 139

```
Ac4Ge2SCl
1.0
6.332 0.344 0.000
-0.345 6.332 0.000
-2.993 -3.338 6.306
Ac Ge S Cl
4 2 1 1
Direct
0.937 0.437 0.000
0.437 0.937 0.000
0.179 0.179 0.483
0.695 0.695 0.517
0.187 0.687 0.500
0.687 0.187 0.500
0.937 0.937 0.000
0.437 0.437 0.000
```

## Pm3Dy4YS8 (GGA-PBE)

Data for Pm3Dy4YS8 after structural relaxation.

## Properties
ΔE_f (raw)	-32.089	eV/f.u.
M_tot	0.00	μB/f.u.
calculated total energy	-6.515	eV/atom
space group	R-3m, No. 166

```
Pm3Dy4YS8
1.0
-0.197 -5.379 -5.772
7.152 2.391 -2.472
-1.018 -2.224 7.503
Pm Dy Y S
3 4 1 8
Direct
0.500 0.500 0.000
0.500 0.500 0.500
0.000 0.500 0.500
0.500 0.000 0.000
0.500 0.000 0.500
0.000 0.000 0.000
0.000 0.000 0.500
0.000 0.500 0.000
0.251 0.759 0.009
0.251 0.759 0.501
0.246 0.237 0.491
0.758 0.759 0.009
0.242 0.241 0.991
0.754 0.763 0.509
0.749 0.241 0.499
0.749 0.241 0.991
```

## TlInMo2 (GGA-PBE)

Data for TlInMo2 after structural relaxation.

## Properties
offset from the most stable computed form	0.1189	eV per atom
M_tot	0.00	μB/f.u.
calculated total energy	-6.246	eV/atom
space group	Cmm2, No. 35

```
TlInMo2
1.0
3.017 0.021 0.000
-1.216 2.761 0.000
0.000 0.000 9.971
In Mo Tl
1 2 1
Direct
0.500 0.500 0.780
0.000 0.000 0.026
0.500 0.500 0.215
0.000 0.000 0.478
```

## Pr4YHg (GGA-PBE)

Data for Pr4YHg after structural relaxation.

## Properties
offset from the most stable computed form	0.0919	eV per atom
M_tot	0.00	μB/f.u.
calculated total energy	-4.369	eV/atom
space group	C2/c, No. 15

```
Pr4YHg
1.0
-2.261 -5.982 -1.456
3.968 0.368 8.416
-7.162 4.485 -0.578
Pr Y Hg
8 2 2
Direct
0.044 0.167 0.767
0.760 0.712 0.622
0.224 0.601 0.767
0.363 0.911 0.622
0.637 0.089 0.378
0.776 0.399 0.233
0.240 0.288 0.378
0.956 0.833 0.233
0.340 0.590 0.179
0.660 0.410 0.821
0.252 0.002 0.004
0.748 0.998 0.996
```

## LiPm2BePd6 (GGA-PBE)

Data for LiPm2BePd6 after structural relaxation.

## Properties
M_tot	0.00	μB/f.u.
calculated total energy	-5.241	eV/atom
space group	P-1, No. 2

```
LiPm2BePd6
1.0
-4.331 1.255 -3.853
-4.601 -1.778 4.626
-5.067 3.717 2.396
Li Pm Be Pd
1 2 1 6
Direct
0.000 0.000 0.000
0.736 0.264 0.529
0.264 0.736 0.471
0.500 0.500 0.000
0.257 0.228 0.485
0.770 0.742 0.973
0.258 0.742 0.973
0.742 0.258 0.027
0.230 0.258 0.027
0.743 0.772 0.515
```

## HoSi2PtRh (GGA-PBE)

Data for HoSi2PtRh after structural relaxation.

## Properties
ΔE_f (raw)	-5.419	eV/f.u.
M_tot	0.00	μB/f.u.
calculated total energy	-6.847	eV/atom
space group	I-4m2, No. 119

```
HoSi2PtRh
1.0
-1.304 -0.754 -3.754
2.405 -3.247 -0.183
-4.285 -0.870 3.842
Ho Si Pt Rh
1 2 1 1
Direct
0.000 0.000 0.000
0.615 0.615 0.230
0.385 0.385 0.770
0.250 0.750 0.500
0.750 0.250 0.500
```